DFT (PBE) results for an optimized crystal structure of Ho4InHg2Au.

Its density of states at the Fermi level is 0.76 states/eV per atom. The formation energy from the elements is -0.56 eV per atom. The final energy comes out at -88.35 eV/cell.

The structure belongs to space group R-3m (No. 166, hexagonal axes); the cell edges are 5.2218, 5.2218 and 25.4408 Å and the angles 90.00°, 90.00° and 120.00°. Symmetry generates all atoms from Ho at (0.0000, 0.0000, 0.1195), Ho at (0.0000, 0.0000, 0.3705), In at (0.0000, 0.0000, 0.5000), Hg at (0.0000, 0.0000, 0.2453) and Au at (0.0000, 0.0000, 0.0000).